Entry 1:
8
Lattice="7.2952 0.1200 -0.4378 3.7422 6.4787 -0.1758 3.2992 2.2174 6.1181" Properties=species:S:1:pos:R:3 comment="SrTlBr6 (PBE, optimized geometry)" dft_energy_ev_per_atom=-2.643 e_form_raw_ev_per_atom=-0.882 sg="No. 2" pbc="T T T"
Sr 7.1682 4.4080 2.7522
Tl 0.0000 0.0000 0.0000
Br 4.3253 4.3619 4.1801
Br 8.2670 2.0056 4.3762
Br 6.0696 2.0677 1.1185
Br 6.0695 6.8105 1.1283
Br 10.0112 4.4542 1.3244
Br 8.2669 6.7484 4.3860

***

Entry 2:
12
Lattice="5.9527 -0.0008 0.0002 -2.9756 5.1556 0.0002 -0.9927 -1.7189 6.2469" Properties=species:S:1:pos:R:3 comment="K3Er2TmO6 (PBE, optimized geometry)" dft_energy_ev_per_atom=-6.692 e_form_raw_ev_per_atom=-2.806 sg="No. 12" pbc="T T T"
K -1.9848 3.4372 3.1237
K 3.9691 -0.0013 3.1237
K 0.9922 1.7180 3.1237
Er 0.0005 3.4368 0.0002
Er 2.9766 1.7180 0.0002
Tm 0.0000 0.0000 0.0000
O 2.9717 1.7255 5.1006
O 1.9894 3.4446 1.1469
O -0.9873 1.7104 1.1468
O 0.0095 3.4363 5.1006
O -0.0050 -0.0087 5.1004
O 1.9749 -0.0004 1.1468

***

Entry 3:
4
Lattice="-1.6450 4.5387 -0.7972 -4.3695 0.6863 -2.0924 -3.7293 1.7496 2.6406" Properties=species:S:1:pos:R:3 comment="CeScAlRh (PBE, optimized geometry)" dft_energy_ev_per_atom=-6.311 formation_energy_mev_per_atom=-471.1 sg="No. 216" pbc="T T T"
Sc 0.0000 0.0000 0.0000
Rh -7.3078 5.2309 -0.1867
Al -2.4359 1.7436 -0.0622
Ce -4.8719 3.4873 -0.1245